Below is a relaxed structure of NbGeRh4, with properties calculated at the PBE level.

Geometry as extended XYZ:
```
6
Lattice="-0.967 -3.929 0.692 0.783 -0.885 -3.932 5.740 -1.166 1.404" Properties=species:S:1:pos:R:3 pbc="T T T"
Nb 5.634 -3.573 -0.207
Ge 3.639 -1.468 -3.221
Rh 1.783 -3.154 -3.210
Rh 4.527 -3.712 -2.539
Rh 4.619 -1.305 -0.919
Rh 1.876 -0.747 -1.590
```

## Properties
calculated volume	16.92	Å³ per atom
ΔE_f	-272	meV/atom
calculated total energy	-7.62	eV/atom